[1]
Compound: DyHo2CuSn3Ir2
Source: the Open Quantum Materials Database
Functional: PBE-GGA
Structure: optimized geometry

Results
Size of the total moment: 0.0 μB per formula unit
Final energy: -5.974 eV per atom

Cell lengths 3.8659, 13.0547, 7.5287 Å; angles 90.00, 90.00, 90.00 degrees
With the nearest neighbours (Å) after each atom.
Space group Amm2 (No. 38)
Symmetry-distinct sites (fractional):
Dy  0.0000  0.0000  0.0000 [2 per cell]  4 Ir 3.00, 1 Cu 3.06, 6 Sn 3.17-3.31
Ho  0.0000  0.2030  0.6091 [4 per cell]  4 Ir 2.99, 1 Cu 3.06, 6 Sn 3.17-3.31
Cu  0.0000  0.0000  0.4064 [2 per cell]  6 Sn 2.75-2.76, 2 Ho 3.06, 1 Dy 3.06
Sn  0.5000  0.0000  0.6662 [2 per cell]  2 Cu 2.75, 2 Ir 2.83
Sn  0.5000  0.1302  0.2760 [4 per cell]  2 Cu 2.76, 2 Ir 2.82-2.83
Ir  0.5000  0.1672  0.9058 [4 per cell]  3 Sn 2.82-2.83, 4 Ho 2.99, 2 Dy 3.00

=====

[2]
Compound: DyHoMg4Cu2
Source: the Open Quantum Materials Database
Functional: PBE-GGA
Structure: optimized geometry

Results
Size of the total moment: 0.0 μB per formula unit
Final energy: -2.402 eV per atom

Cell lengths 5.8223, 5.2230, 16.4337 Å; angles 90.00, 90.00, 90.00 degrees
With the nearest neighbours (Å) after each atom.
Space group Amm2 (No. 38)
Symmetry-distinct sites (fractional):
Dy  0.0000  0.0000  0.0000 [2 per cell]  2 Cu 2.70
Ho  0.0000  0.0000  0.2239 [2 per cell]  2 Cu 2.70
Mg  0.2518  0.0000  0.4088 [4 per cell]  1 Cu 2.64, 2 Mg 2.89-2.93
Mg  0.2517  0.0000  0.8146 [4 per cell]  1 Cu 2.63, 2 Mg 2.89-2.93
Cu  0.0000  0.0000  0.5423 [2 per cell]  1 Cu 2.29
Cu  0.0000  0.0000  0.6816 [2 per cell]  1 Cu 2.29

=====

[3]
Compound: DyHoCu2Pb
Source: the Open Quantum Materials Database
Functional: PBE-GGA
Structure: optimized geometry

Results
Size of the total moment: 0.0 μB per formula unit
Final energy: -4.441 eV per atom

Cell lengths 3.6627, 4.2220, 13.9831 Å; angles 90.00, 90.00, 90.00 degrees
With the nearest neighbours (Å) after each atom.
Space group Amm2 (No. 38)
Symmetry-distinct sites (fractional):
Dy  0.0000  0.0000  0.0000 [2 per cell]  6 Cu 2.91-2.96
Ho  0.0000  0.0000  0.7297 [2 per cell]  6 Cu 2.90-2.95
Cu  0.5000  0.0000  0.1618 [2 per cell]  2 Cu 2.48
Cu  0.5000  0.0000  0.5690 [2 per cell]  2 Cu 2.48
Pb  0.5000  0.0000  0.3647 [2 per cell]  2 Cu 2.84-2.86

=====

[4]
Compound: DyHoCu2Sb4
Source: the Open Quantum Materials Database
Functional: PBE-GGA
Structure: optimized geometry

Results
Size of the total moment: 0.0 μB per formula unit
Final energy: -4.744 eV per atom

Cell lengths 4.3073, 4.3073, 9.8164 Å; angles 90.00, 90.00, 90.00 degrees
With the nearest neighbours (Å) after each atom.
Space group P4mm (No. 99)
Symmetry-distinct sites (fractional):
Dy  0.0000  0.0000  0.0000 [1 per cell]  8 Sb 3.17-3.27, 4 Cu 3.27
Ho  0.5000  0.5000  0.4993 [1 per cell]  8 Sb 3.16-3.26, 4 Cu 3.27
Cu  0.0000  0.5000  0.7494 [2 per cell]  4 Sb 2.68
Sb  0.0000  0.0000  0.5870 [1 per cell]  4 Cu 2.68
Sb  0.0000  0.5000  0.2502 [2 per cell]  4 Sb 3.05, 2 Ho 3.26, 2 Dy 3.27
Sb  0.5000  0.5000  0.9120 [1 per cell]  4 Cu 2.68

=====

[5]
Compound: DyHoCuSe3
Source: the Open Quantum Materials Database
Functional: PBE-GGA
Structure: optimized geometry

Results
Size of the total moment: 0.0 μB per formula unit
Final energy: -5.260 eV per atom

Cell lengths 3.8809, 13.1999, 10.4496 Å; angles 90.00, 90.00, 90.00 degrees
With the nearest neighbours (Å) after each atom.
Space group Cmcm (No. 63)
Symmetry-distinct sites (fractional):
Dy  0.0000  0.2298  0.2500 [4 per cell]  6 Se 2.90-3.00
Ho  0.0000  0.0000  0.0000 [4 per cell]  6 Se 2.85-2.91
Cu  0.0000  0.4744  0.7500 [4 per cell]  4 Se 2.46-2.53
Se  0.0000  0.0968  0.7500 [4 per cell]  2 Cu 2.53
Se  0.0000  0.3524  0.5723 [8 per cell]  1 Cu 2.46

=====

[6]
Compound: DyHoCu2Si4
Source: the Open Quantum Materials Database
Functional: PBE-GGA
Structure: optimized geometry

Results
Size of the total moment: 0.0 μB per formula unit
Final energy: -5.356 eV per atom

Cell lengths 3.9725, 3.9923, 16.8880 Å; angles 90.00, 90.00, 90.00 degrees
With the nearest neighbours (Å) after each atom.
Space group Amm2 (No. 38)
Symmetry-distinct sites (fractional):
Dy  0.0000  0.0000  0.0000 [2 per cell]  10 Si 3.02-3.22, 4 Cu 3.05
Ho  0.5000  0.0000  0.7970 [2 per cell]  10 Si 3.02-3.21, 4 Cu 3.05
Cu  0.0000  0.0000  0.2272 [2 per cell]  5 Si 2.28-2.39
Cu  0.5000  0.0000  0.5700 [2 per cell]  5 Si 2.28-2.40
Si  0.0000  0.0000  0.3620 [2 per cell]  1 Cu 2.28, 2 Si 2.33
Si  0.0000  0.0000  0.6493 [2 per cell]  4 Cu 2.39-2.40
Si  0.5000  0.0000  0.1481 [2 per cell]  4 Cu 2.39
Si  0.5000  0.0000  0.4347 [2 per cell]  1 Cu 2.28, 2 Si 2.33

=====

[7]
Compound: DyHo2Cu4Si2Sn2
Source: the Open Quantum Materials Database
Functional: PBE-GGA
Structure: optimized geometry

Results
Size of the total moment: 0.0 μB per formula unit
Final energy: -4.836 eV per atom

Cell lengths 4.2199, 6.8633, 14.1876 Å; angles 90.00, 90.00, 90.00 degrees
With the nearest neighbours (Å) after each atom.
Space group Immm (No. 71)
Symmetry-distinct sites (fractional):
Dy  0.0000  0.0000  0.0000 [2 per cell]  4 Sn 2.94, 2 Si 3.07
Ho  0.0000  0.5000  0.1354 [4 per cell]  6 Cu 2.91-3.07, 2 Si 2.98, 4 Sn 3.17
Cu  0.0000  0.3111  0.3190 [8 per cell]  3 Si 2.53-2.59, 1 Cu 2.59, 1 Sn 2.67
Si  0.0000  0.0000  0.2163 [4 per cell]  6 Cu 2.53-2.59
Sn  0.0000  0.2022  0.5000 [4 per cell]  2 Cu 2.67, 1 Sn 2.78, 2 Dy 2.94

=====

[8]
Compound: Dy2HoCu4Si2Sn2
Source: the Open Quantum Materials Database
Functional: PBE-GGA
Structure: optimized geometry

Results
Size of the total moment: 0.0 μB per formula unit
Final energy: -4.839 eV per atom

Cell lengths 4.2333, 6.8390, 14.2042 Å; angles 90.00, 90.00, 90.00 degrees
With the nearest neighbours (Å) after each atom.
Space group Immm (No. 71)
Symmetry-distinct sites (fractional):
Dy  0.0000  0.0000  0.1349 [4 per cell]  6 Cu 2.91-3.07, 2 Si 3.00, 4 Sn 3.18
Ho  0.0000  0.5000  0.0000 [2 per cell]  4 Sn 2.93, 2 Si 3.06
Cu  0.0000  0.1900  0.3181 [8 per cell]  3 Si 2.53-2.57, 1 Cu 2.60, 1 Sn 2.68
Si  0.0000  0.5000  0.2156 [4 per cell]  6 Cu 2.53-2.57
Sn  0.0000  0.2963  0.5000 [4 per cell]  2 Cu 2.68, 1 Sn 2.79, 2 Ho 2.93

=====

Question: Which value of final energy does entry 3 give?
Answer: -4.441 eV per atom

=====

Question: Which formula does entry 4 have?
Answer: DyHoCu2Sb4